Entry from the Alexandria database: an optimized crystal structure of La6TbTh (PBE).

Density of states at the Fermi level, states/eV/cell: 12.52
Energy relative to the lowest polymorph listed for this composition, meV/atom: 114.3
VASP energy, eV/atom: -5.058
Formation energy from the elements, meV per atom: 143.6
ρ, g cm⁻³: 7.3
Size of the total moment, μB per cell: 0.000

Cell lengths 6.818, 6.718, 6.975 Å; angles 91.52, 60.81, 93.00 degrees
Positions (direct):
Th: 0.000 0.500 0.000
La: 0.457 0.244 0.449
La: 0.543 0.756 0.551
La: 0.540 0.726 0.001
La: 0.460 0.274 0.999
La: 0.908 0.245 0.549
Tb: 0.000 0.000 0.000
La: 0.092 0.755 0.451

Entry from the Alexandria database: an optimized crystal structure of LaTb3Th (PBE).

Density of states at the Fermi level, states/eV/cell: 17.12
Energy relative to the lowest polymorph listed for this composition, meV/atom: 0.0
VASP energy, eV/atom: -5.053
Formation energy from the elements, meV per atom: 194.6
ρ, g cm⁻³: 8.3
Size of the total moment, μB per cell: 0.000

Cell lengths 3.455, 9.179, 11.362 Å; angles 73.24, 90.00, 100.85 degrees
Positions (direct):
Tb: 0.302 0.604 0.859
La: 0.098 0.197 0.948
Tb: 0.802 0.603 0.368
Tb: 0.993 0.986 0.730
Tb: 0.007 0.014 0.270
Tb: 0.698 0.396 0.141
Th: 0.400 0.799 0.542
La: 0.902 0.803 0.052
Th: 0.600 0.201 0.458
Tb: 0.198 0.397 0.632

Entry from the Alexandria database: an optimized crystal structure of La5Tb6Th2 (PBE).

Density of states at the Fermi level, states/eV/cell: 37.66
VASP energy, eV/atom: -5.071
Formation energy from the elements, meV per atom: 103.0
ρ, g cm⁻³: 7.8
Size of the total moment, μB per cell: 0.000

Cell lengths 3.627, 11.672, 21.246 Å; angles 90.00, 90.00, 90.00 degrees
Positions (direct):
Th: 0.000 0.807 0.236
La: 0.500 0.191 0.919
Tb: 0.000 0.061 0.350
Tb: 0.000 0.439 0.850
La: 0.500 0.500 0.000
Tb: 0.000 0.084 0.061
La: 0.500 0.691 0.581
La: 0.500 0.809 0.081
Th: 0.000 0.307 0.264
Tb: 0.000 0.416 0.561
Th: 0.000 0.193 0.764
Tb: 0.500 0.813 0.376
Tb: 0.000 0.939 0.650
La: 0.500 0.560 0.296
La: 0.500 0.940 0.796
Tb: 0.500 0.313 0.124
Tb: 0.500 0.187 0.624
La: 0.500 0.309 0.419
Tb: 0.000 0.916 0.939
Tb: 0.000 0.561 0.150
La: 0.500 0.440 0.704
Tb: 0.000 0.584 0.439
La: 0.500 0.000 0.500
Th: 0.000 0.693 0.736
La: 0.500 0.060 0.204
Tb: 0.500 0.687 0.876

Entry from the Alexandria database: an optimized crystal structure of La8Tb6Th (PBE).

Density of states at the Fermi level, states/eV/cell: 23.78
VASP energy, eV/atom: -4.864
Formation energy from the elements, meV per atom: 110.3
ρ, g cm⁻³: 7.3
Size of the total moment, μB per cell: 0.000

Cell lengths 8.843, 8.843, 8.843 Å; angles 62.92, 62.92, 62.92 degrees
Positions (direct):
La: 0.757 0.116 0.715
Tb: 0.250 0.094 0.539
La: 0.884 0.285 0.243
La: 0.243 0.884 0.285
Tb: 0.094 0.539 0.250
Tb: 0.750 0.906 0.461
La: 0.422 0.422 0.422
Tb: 0.539 0.250 0.094
La: 0.715 0.757 0.116
La: 0.116 0.715 0.757
Tb: 0.906 0.461 0.750
Th: 0.000 0.000 0.000
Tb: 0.461 0.750 0.906
La: 0.578 0.578 0.578
La: 0.285 0.243 0.884

Entry from the Alexandria database: an optimized crystal structure of LaTb3Th (PBE).

Density of states at the Fermi level, states/eV/cell: 15.01
Energy relative to the lowest polymorph listed for this composition, meV/atom: 191.7
VASP energy, eV/atom: -4.861
Formation energy from the elements, meV per atom: 386.3
ρ, g cm⁻³: 7.7
Size of the total moment, μB per cell: 0.000

Cell lengths 6.702, 5.922, 11.156 Å; angles 88.35, 87.09, 55.53 degrees
Positions (direct):
Tb: 0.390 0.675 0.242
La: 0.698 0.605 0.500
Tb: 0.282 0.000 0.798
Th: 0.769 0.463 0.000
Tb: 0.065 0.325 0.242
Tb: 0.718 0.000 0.202
Tb: 0.610 0.325 0.758
La: 0.302 0.395 0.500
Th: 0.231 0.537 0.000
Tb: 0.935 0.675 0.758

Entry from the Alexandria database: an optimized crystal structure of LaTb4Th2 (PBE).

Density of states at the Fermi level, states/eV/cell: 9.95
VASP energy, eV/atom: -5.303
Formation energy from the elements, meV per atom: 166.5
ρ, g cm⁻³: 8.4
Size of the total moment, μB per cell: 0.000

Cell lengths 3.571, 6.108, 12.081 Å; angles 110.93, 90.00, 90.00 degrees
Positions (direct):
Th: 0.000 0.500 0.500
Tb: 0.500 0.167 0.262
Tb: 0.000 0.352 0.766
Tb: 0.000 0.648 0.234
Th: 0.500 0.000 0.500
Tb: 0.500 0.833 0.738
La: 0.000 0.000 0.000

Entry from the Alexandria database: an optimized crystal structure of La3Tb4Th (PBE).

Density of states at the Fermi level, states/eV/cell: 11.96
VASP energy, eV/atom: -4.951
Formation energy from the elements, meV per atom: 139.4
ρ, g cm⁻³: 7.8
Size of the total moment, μB per cell: 0.000

Cell lengths 3.479, 9.057, 9.057 Å; angles 81.83, 78.93, 78.93 degrees
Positions (direct):
Tb: 0.367 0.882 0.383
La: 0.000 0.500 0.500
Th: 0.500 0.000 0.000
Tb: 0.633 0.118 0.617
Tb: 0.633 0.617 0.118
La: 0.769 0.231 0.231
Tb: 0.367 0.383 0.882
La: 0.231 0.769 0.769

Entry from the Alexandria database: an optimized crystal structure of La6Tb10Th (PBE).

Density of states at the Fermi level, states/eV/cell: 26.95
VASP energy, eV/atom: -4.753
Formation energy from the elements, meV per atom: 146.2
ρ, g cm⁻³: 7.6
Size of the total moment, μB per cell: 0.001

Cell lengths 7.056, 9.771, 9.771 Å; angles 120.00, 90.00, 90.00 degrees
Positions (direct):
La: 0.302 0.625 0.625
Tb: 0.821 0.272 0.000
Tb: 0.000 0.333 0.667
Tb: 0.179 0.000 0.728
La: 0.302 0.375 0.000
Th: 0.500 0.000 0.000
Tb: 0.500 0.333 0.667
La: 0.302 0.000 0.375
Tb: 0.821 0.728 0.728
La: 0.698 0.625 0.000
Tb: 0.821 0.000 0.272
Tb: 0.500 0.667 0.333
La: 0.698 0.000 0.625
Tb: 0.179 0.728 0.000
Tb: 0.179 0.272 0.272
La: 0.698 0.375 0.375
Tb: 0.000 0.667 0.333